[1]
VASP calculation (PBE-GGA) on crystalline Ac2AlZn6Ag at its relaxed geometry.

Cell lengths 5.114, 7.052, 7.110 Å; angles 82.92, 69.04, 68.75 degrees
Space group P-1 (No. 2)
Symmetry-distinct sites (fractional):
Ac: 0.249 0.210 0.292 x2
Al: 0.000 0.000 0.000 x1
Zn: 0.240 0.258 0.766 x2
Zn: 0.249 0.574 0.929 x2
Zn: 0.263 0.742 0.235 x2
Ag: 0.500 0.500 0.500 x1

Results
- E (eV per formula unit) = -24.8
- calculated volume (Å³/cell) = 223.2

[2]
VASP calculation (PBE-GGA) on crystalline LaNd2Tm at its relaxed geometry.

Cell lengths 8.226, 8.226, 8.226 Å; angles 90.00, 90.00, 90.00 degrees
Space group Fm-3m (No. 225)
Symmetry-distinct sites (fractional):
La: 0.000 0.000 0.000 x4
Nd: 0.250 0.250 0.250 x8
Tm: 0.000 0.000 0.500 x4

Results
- E (eV per formula unit) = -18.3
- calculated volume (Å³/cell) = 556.6
- E above lowest polymorph (eV/atom) = 0.133

[3]
VASP calculation (PBE-GGA) on crystalline Na5Ce3Te8 at its relaxed geometry.

Cell lengths 9.1051, 9.1051, 22.2197 Å; angles 90.00, 90.00, 120.00 degrees
Space group R-3m (No. 166, hexagonal axes)
Symmetry-distinct sites (fractional):
Na: 0.0000 0.0000 0.0000 x3
Na: 0.0000 0.0000 0.5000 x3
Na: 0.0000 0.5000 0.0000 x9
Ce: 0.0000 0.5000 0.5000 x9
Te: 0.0000 0.0000 0.2462 x6
Te: 0.0109 0.5055 0.7555 x18

Results
- E_form (uncorrected) (eV/atom) = -1.1471
- E (eV per formula unit) = -67.9
- calculated volume (Å³/cell) = 1595.3